Run a
# BeTcIr3 PBE relaxed
# Total magnetic moment   0.0 μB/cell
data_BeTcIr3
_chemical_formula_sum 'Be1 Tc1 Ir3'
_space_group_name_H-M_alt 'P 1'
_space_group_IT_number 1
_cell_length_a 4.1073
_cell_length_b 4.1073
_cell_length_c 4.1073
_cell_angle_alpha 90.00
_cell_angle_beta 90.00
_cell_angle_gamma 90.00
loop_
_space_group_symop_operation_xyz
'x,y,z'
loop_
_atom_site_label
_atom_site_type_symbol
_atom_site_fract_x
_atom_site_fract_y
_atom_site_fract_z
Ir1 Ir 0.0000 0.5000 0.0000
Tc1 Tc 0.5000 0.5000 0.5000
Ir2 Ir 0.5000 0.0000 0.0000
Ir3 Ir 0.0000 0.0000 0.5000
Be1 Be 0.0000 0.0000 0.0000

=====

Run b
# BeTcIr3 PBE relaxed
# Total magnetic moment   0.0 μB/cell
data_BeTcIr3
_chemical_formula_sum 'Be1 Tc1 Ir3'
_space_group_name_H-M_alt 'P 1'
_space_group_IT_number 1
_cell_length_a 4.6786
_cell_length_b 4.6786
_cell_length_c 4.6786
_cell_angle_alpha 90.00
_cell_angle_beta 90.00
_cell_angle_gamma 90.00
loop_
_space_group_symop_operation_xyz
'x,y,z'
loop_
_atom_site_label
_atom_site_type_symbol
_atom_site_fract_x
_atom_site_fract_y
_atom_site_fract_z
Tc1 Tc 0.0000 0.0000 0.0000
Be1 Be 0.5000 0.5000 0.5000
Ir1 Ir 0.0000 0.5000 0.0000
Ir2 Ir 0.5000 0.0000 0.0000
Ir3 Ir 0.0000 0.0000 0.5000

=====

Most stable structure: run a

=====

Run a
# Be3TcIr PBE relaxed
# Total magnetic moment   2.5 μB/cell
data_Be3TcIr
_chemical_formula_sum 'Be3 Tc1 Ir1'
_space_group_name_H-M_alt 'P 1'
_space_group_IT_number 1
_cell_length_a 4.1110
_cell_length_b 4.1110
_cell_length_c 4.1110
_cell_angle_alpha 90.00
_cell_angle_beta 90.00
_cell_angle_gamma 90.00
loop_
_space_group_symop_operation_xyz
'x,y,z'
loop_
_atom_site_label
_atom_site_type_symbol
_atom_site_fract_x
_atom_site_fract_y
_atom_site_fract_z
Tc1 Tc 0.5000 0.5000 0.5000
Be1 Be 0.5000 0.0000 0.0000
Ir1 Ir 0.0000 0.0000 0.0000
Be2 Be 0.0000 0.0000 0.5000
Be3 Be 0.0000 0.5000 0.0000

=====

Run b
# Be3TcIr PBE relaxed
# Total magnetic moment   0.0 μB/cell
data_Be3TcIr
_chemical_formula_sum 'Be3 Tc1 Ir1'
_space_group_name_H-M_alt 'P 1'
_space_group_IT_number 1
_cell_length_a 4.0040
_cell_length_b 4.0040
_cell_length_c 4.0040
_cell_angle_alpha 90.00
_cell_angle_beta 90.00
_cell_angle_gamma 90.00
loop_
_space_group_symop_operation_xyz
'x,y,z'
loop_
_atom_site_label
_atom_site_type_symbol
_atom_site_fract_x
_atom_site_fract_y
_atom_site_fract_z
Be1 Be 0.0000 0.0000 0.5000
Be2 Be 0.5000 0.0000 0.0000
Tc1 Tc 0.0000 0.0000 0.0000
Be3 Be 0.0000 0.5000 0.0000
Ir1 Ir 0.5000 0.5000 0.5000

=====

Most stable structure: run a